## w
This record from Alexandria via LeMat-Bulk describes MgFeBO4 after structural relaxation. The functional is GGA+U.

abc: 5.466 5.466 5.466
angles: 120.40 119.83 89.80
Fractional positions:
Mg 0.500 0.000 0.000
Mg 0.500 0.500 0.500
Fe 0.000 0.000 0.000
Fe 0.500 0.000 0.500
B 0.107 0.357 0.750
B 0.893 0.643 0.250
O 0.221 0.744 0.477
O 0.233 0.256 0.977
O 0.237 0.250 0.513
O 0.237 0.724 0.987
O 0.763 0.276 0.013
O 0.763 0.750 0.487
O 0.767 0.744 0.023
O 0.779 0.256 0.523

space-group type	Imma
volume	115	Å³/cell


## x
This record from Alexandria via LeMat-Bulk describes MgFeBO4 after structural relaxation. The functional is GGA+U.

abc: 9.383 3.131 9.483
angles: 90.00 90.00 90.00
Fractional positions:
Mg 0.101 0.250 0.186
Mg 0.399 0.750 0.686
Mg 0.601 0.250 0.314
Mg 0.899 0.750 0.814
Fe 0.118 0.250 0.568
Fe 0.382 0.750 0.068
Fe 0.618 0.250 0.932
Fe 0.882 0.750 0.432
B 0.167 0.250 0.871
B 0.333 0.750 0.371
B 0.667 0.250 0.629
B 0.833 0.750 0.129
O 0.008 0.250 0.385
O 0.024 0.250 0.867
O 0.240 0.250 0.002
O 0.247 0.250 0.745
O 0.253 0.750 0.245
O 0.260 0.750 0.502
O 0.476 0.750 0.367
O 0.492 0.750 0.885
O 0.508 0.250 0.115
O 0.524 0.250 0.633
O 0.740 0.250 0.498
O 0.747 0.250 0.755
O 0.753 0.750 0.255
O 0.760 0.750 0.998
O 0.976 0.750 0.133
O 0.992 0.750 0.615

space-group type	Pnma
volume	279	Å³/cell


Most stable pick: x. Distance to second place: 0.469 eV/atom.


## w
This record from Alexandria via LeMat-Bulk describes Mg6FeBO8 after structural relaxation. The functional is GGA+U.

abc: 4.223 4.223 8.548
angles: 90.00 90.00 90.00
Fractional positions:
Mg 0.000 0.000 0.000
Mg 0.000 0.500 0.253
Mg 0.000 0.500 0.747
Mg 0.500 0.000 0.253
Mg 0.500 0.000 0.747
Mg 0.500 0.500 0.000
Fe 0.000 0.000 0.500
B 0.500 0.500 0.500
O 0.000 0.000 0.245
O 0.000 0.000 0.755
O 0.000 0.500 0.000
O 0.000 0.500 0.500
O 0.500 0.000 0.000
O 0.500 0.000 0.500
O 0.500 0.500 0.255
O 0.500 0.500 0.745

space-group type	P4/mmm
volume	152	Å³/cell


## x
This record from Alexandria via LeMat-Bulk describes Mg6FeBO8 after structural relaxation. The functional is GGA+U.

abc: 4.314 4.314 8.441
angles: 90.00 90.00 90.00
Fractional positions:
Mg 0.000 0.000 0.000
Mg 0.000 0.000 0.500
Mg 0.000 0.500 0.237
Mg 0.000 0.500 0.763
Mg 0.500 0.000 0.237
Mg 0.500 0.000 0.763
Fe 0.500 0.500 0.500
B 0.500 0.500 0.000
O 0.000 0.000 0.250
O 0.000 0.000 0.750
O 0.000 0.500 0.000
O 0.000 0.500 0.500
O 0.500 0.000 0.000
O 0.500 0.000 0.500
O 0.500 0.500 0.167
O 0.500 0.500 0.833

space-group type	P4/mmm
volume	157	Å³/cell


Most stable pick: x. Distance to second place: 0.086 eV/atom.